Below is a geometry-optimized Y2Hg structure, with properties calculated at the PBE-GGA level.

Values from the calculation:
The energy of formation comes out at -90 meV per atom. The calculation puts the energy at -13.50 eV per cell.

Cell: 5.169 5.169 3.531 Å, 90.00 90.00 90.00°
Positions (direct):
Y  0.000  0.500  0.500
Hg  0.000  0.000  0.000
Y  0.500  0.000  0.500